Entry 1:
Below is a geometry-optimized Na2Si4Pd5 structure, with properties calculated at the GGA-PBE level.

Calculated values
Its theoretical density is 5.797 g/cm³. The uncorrected formation energy comes out at -0.45 eV per atom. Its space-group type is Fmmm, No. 69.

a b c (Å): 8.611 7.671 5.633
angles (deg): 79.05 60.99 39.96
Element x y z (fractional)
Na (0.128, 0.128, 0.872)
Na (0.872, 0.872, 0.128)
Si (0.216, 0.522, 0.478)
Si (0.478, 0.784, 0.216)
Si (0.522, 0.216, 0.784)
Si (0.784, 0.478, 0.522)
Pd (0.000, 0.000, 0.500)
Pd (0.250, 0.250, 0.250)
Pd (0.500, 0.500, 0.000)
Pd (0.500, 0.500, 0.500)
Pd (0.750, 0.750, 0.750)



Entry 2:
Below is a geometry-optimized NaSi2Pd2 structure, with properties calculated at the GGA-PBE level.

Calculated values
Its energy relative to the lowest polymorph listed for this composition is 0.585 kcal/mol of atoms. Its theoretical density is 5.598 g/cm³. The uncorrected formation energy comes out at -0.46 eV per atom. Its space-group type is Cmcm, No. 63.

a b c (Å): 4.514 4.514 8.661
angles (deg): 90.00 90.00 78.97
Element x y z (fractional)
Na (0.229, 0.771, 0.750)
Na (0.771, 0.229, 0.250)
Si (0.305, 0.695, 0.103)
Si (0.305, 0.695, 0.397)
Si (0.695, 0.305, 0.603)
Si (0.695, 0.305, 0.897)
Pd (0.210, 0.210, 0.000)
Pd (0.210, 0.210, 0.500)
Pd (0.790, 0.790, 0.000)
Pd (0.790, 0.790, 0.500)



Entry 3:
Below is a geometry-optimized NaSi2Pd structure, with properties calculated at the GGA-PBE level.

Calculated values
Its theoretical density is 3.003 g/cm³. The uncorrected formation energy comes out at 0.00 eV per atom. Its space-group type is R-3m, No. 166.

a b c (Å): 7.396 7.396 7.396
angles (deg): 32.29 32.29 32.29
Element x y z (fractional)
Na (0.000, 0.000, 0.000)
Si (0.136, 0.136, 0.136)
Si (0.864, 0.864, 0.864)
Pd (0.500, 0.500, 0.500)



Entry 4:
Below is a geometry-optimized NaSi2Pd structure, with properties calculated at the GGA-PBE level.

Calculated values
Its theoretical density is 4.838 g/cm³. The uncorrected formation energy comes out at 0.09 eV per atom. Its space-group type is Fm-3m, No. 225.

a b c (Å): 4.483 4.483 4.483
angles (deg): 60.00 60.00 60.00
Element x y z (fractional)
Na (0.000, 0.000, 0.000)
Si (0.250, 0.250, 0.250)
Si (0.750, 0.750, 0.750)
Pd (0.500, 0.500, 0.500)



Entry 5:
Below is a geometry-optimized NaSiPd2 structure, with properties calculated at the GGA-PBE level.

Calculated values
Its theoretical density is 6.290 g/cm³. The uncorrected formation energy comes out at -0.29 eV per atom. Its space-group type is R-3m, No. 166.

a b c (Å): 8.523 8.523 8.523
angles (deg): 21.01 21.01 21.01
Element x y z (fractional)
Na (0.000, 0.000, 0.000)
Si (0.500, 0.500, 0.500)
Pd (0.233, 0.233, 0.233)
Pd (0.767, 0.767, 0.767)



Entry 6:
Below is a geometry-optimized NaSi2Pd4 structure, with properties calculated at the GGA-PBE level.

Calculated values
Its energy relative to the lowest polymorph listed for this composition is 0.488 kcal/mol of atoms. Its theoretical density is 7.310 g/cm³. The uncorrected formation energy comes out at -0.53 eV per atom. Its space-group type is P4_2/mnm, No. 136.

a b c (Å): 7.811 7.811 3.759
angles (deg): 90.00 90.00 90.00
Element x y z (fractional)
Na (0.000, 0.000, 0.000)
Na (0.500, 0.500, 0.500)
Si (0.235, 0.235, 0.500)
Si (0.265, 0.735, 0.000)
Si (0.735, 0.265, 0.000)
Si (0.765, 0.765, 0.500)
Pd (0.070, 0.678, 0.500)
Pd (0.178, 0.430, 0.000)
Pd (0.322, 0.930, 0.500)
Pd (0.430, 0.178, 0.000)
Pd (0.570, 0.822, 0.000)
Pd (0.678, 0.070, 0.500)
Pd (0.822, 0.570, 0.000)
Pd (0.930, 0.322, 0.500)



Repeat the first record exactly.
Below is a geometry-optimized Na2Si4Pd5 structure, with properties calculated at the GGA-PBE level.

Calculated values
Its theoretical density is 5.797 g/cm³. The uncorrected formation energy comes out at -0.45 eV per atom. Its space-group type is Fmmm, No. 69.

a b c (Å): 8.611 7.671 5.633
angles (deg): 79.05 60.99 39.96
Element x y z (fractional)
Na (0.128, 0.128, 0.872)
Na (0.872, 0.872, 0.128)
Si (0.216, 0.522, 0.478)
Si (0.478, 0.784, 0.216)
Si (0.522, 0.216, 0.784)
Si (0.784, 0.478, 0.522)
Pd (0.000, 0.000, 0.500)
Pd (0.250, 0.250, 0.250)
Pd (0.500, 0.500, 0.000)
Pd (0.500, 0.500, 0.500)
Pd (0.750, 0.750, 0.750)



Q: Number 2 is which compound?
A: NaSi2Pd2



Q: Which of these has the highest theoretical density?
A: NaSi2Pd4